Compound: La7Rh3
Source: Alexandria via LeMat-Bulk
Functional: PBE
Structure: relaxed

## Properties
- SG = P6_3mc (186)
- ΔH_f (0 K) (eV/atom) = -0.55
- density of states at the Fermi level (states/eV/cell) = 25.72
- calculated volume (A^3/atom) = 29.49

The structure in POSCAR format:
```
La7Rh3
1.0
10.1697 0.0000 0.0000
-5.0849 8.8073 0.0000
0.0000 0.0000 6.5841
La Rh
14 6
direct
0.0767 0.5383 0.0000
0.1245 0.2491 0.6995
0.1245 0.8755 0.6995
0.2491 0.1245 0.1995
0.3333 0.6667 0.4667
0.4617 0.5383 0.0000
0.4617 0.9233 0.0000
0.5383 0.0767 0.5000
0.5383 0.4617 0.5000
0.6667 0.3333 0.9667
0.7509 0.8755 0.6995
0.8755 0.1245 0.1995
0.8755 0.7509 0.1995
0.9233 0.4617 0.5000
0.1874 0.3749 0.2388
0.1874 0.8126 0.2388
0.3749 0.1874 0.7388
0.6251 0.8126 0.2388
0.8126 0.1874 0.7388
0.8126 0.6251 0.7388
```